1.
DFT (GGA-PBE) results for CdIr2Cl after structural relaxation.

The space group is P4/mmm (No. 123) and the conventional cell measures 4.678, 4.678 and 3.040 Å, with angles of 90.00, 90.00 and 90.00 degrees. Symmetry generates all atoms from Cd at (0.000, 0.000, 0.000), Ir at (0.000, 0.500, 0.500) and Cl at (0.500, 0.500, 0.000).

The calculation puts the density of states at the Fermi level at 1.03 states/eV per atom. The value obtained for the total energy is -16.5 eV/cell. The uncorrected formation energy is 993.8 meV per atom. Its volume is 16.63 Å³ per atom. As for the polymorph energy (0 for the lowest one): 799 meV/atom.

2.
DFT (GGA-PBE) results for CdIr2Cl after structural relaxation.

The space group is P4/mmm (No. 123) and the conventional cell measures 3.627, 3.627 and 5.973 Å, with angles of 90.00, 90.00 and 90.00 degrees. Symmetry generates all atoms from Cd at (0.000, 0.000, 0.000), Ir at (0.000, 0.500, 0.500) and Cl at (0.500, 0.500, 0.000).

The calculation puts the density of states at the Fermi level at 0.96 states/eV per atom. The value obtained for the total energy is -17.6 eV/cell. The uncorrected formation energy is 729.0 meV per atom. Its volume is 19.64 Å³ per atom. As for the polymorph energy (0 for the lowest one): 534 meV/atom.